[1]
DFT (SCAN) results for a PBEsol-optimized structure of ZrSiN2F.

Cell lengths 3.473, 3.693, 3.693 Å; angles 90.00, 90.00, 90.00 degrees
Each line ends with the local moment (μB).
Sites, in units of the cell vectors:
1 Zr 0.500 0.500 0.500  0.57
2 N 0.000 0.500 0.000  -0.01
3 N 0.000 0.000 0.500  -0.01
4 Si 0.000 0.000 0.000  0.00
5 F 0.500 0.000 0.000  0.02

Summary:
Formation energy from raw total energies = -1163 meV per atom
Final energy = -0.505 Ha/atom
Spin magnetization = 0.72 μB per formula unit
Calculated volume = 9.5 Å³/atom
Crystal system = tetragonal

[2]
DFT (SCAN) results for a PBEsol-optimized structure of ScZnAg.

Cell lengths 3.023, 4.477, 4.477 Å; angles 120.00, 90.00, 90.00 degrees
Sites, in units of the cell vectors:
1 Zn 0.500 0.333 0.667
2 Sc 0.000 0.667 0.333
3 Ag 0.500 0.000 0.000

Summary:
Final energy = -0.737 Ha/atom
Spin magnetization = 0.00 μB per formula unit
Energy of formation = -33.1 kJ/mol of atoms
Calculated volume = 17.5 Å³/atom
Crystal system = hexagonal

[3]
DFT (SCAN) results for a PBEsol-optimized structure of TcNiRh.

Cell lengths 2.643, 2.643, 5.743 Å; angles 103.33, 103.33, 89.96 degrees
Each line ends with the local moment (μB).
Sites, in units of the cell vectors:
1 Rh 0.334 0.334 0.668  0.11
2 Tc 0.664 0.664 0.327  0.11
3 Ni 0.003 0.003 0.005  0.47

Summary:
Final energy = -1.042 Ha/atom
Spin magnetization = 0.66 μB per formula unit
Energy of formation = -1.8 kJ/mol of atoms
Calculated volume = 12.6 Å³/atom
Crystal system = tetragonal
Energy above the most stable polymorph in this dataset = 62.5 meV/atom